The following is a PBE calculation of CaGdCdIr after structural relaxation, from Alexandria.

Computed properties:
* E_form: -0.379 eV/atom
* crystal system: cubic

```
CaGdCdIr
1.0
5.0733 0.0000 0.0000
2.5367 4.3936 0.0000
2.5367 1.4645 4.1424
Gd Ca Ir Cd
1 1 1 1
direct
0.5000 0.5000 0.5000
0.0000 0.0000 0.0000
0.2500 0.2500 0.2500
0.7500 0.7500 0.7500
```